# 1
The following is a PBEsol calculation of a relaxed structure of Mn2TeO6, from the Alexandria database. Values from VASP.

Geometry as Quantum ESPRESSO input:
```
&SYSTEM
  ibrav = 0, nat = 18, ntyp = 3
/
ATOMIC_SPECIES
Te 127.60 Te.upf
Mn 54.94 Mn.upf
O 16.00 O.upf
CELL_PARAMETERS angstrom
-0.1959 4.4224 -1.1071
-1.0894 -1.1215 -4.2868
-8.8106 0.1597 2.1972
ATOMIC_POSITIONS crystal
Te 0.0000 0.0000 0.5000
Te 0.5000 0.5000 0.0000
Mn 0.0000 0.0000 0.1680
Mn 0.5000 0.5000 0.6680
Mn 0.0000 0.0000 0.8320
Mn 0.5000 0.5000 0.3320
O 0.3173 0.6827 0.5000
O 0.8018 0.8018 0.6766
O 0.6982 0.3018 0.1766
O 0.6827 0.3173 0.5000
O 0.8018 0.8018 0.3234
O 0.1827 0.1827 0.0000
O 0.1982 0.1982 0.6766
O 0.8173 0.8173 0.0000
O 0.3018 0.6982 0.8234
O 0.3018 0.6982 0.1766
O 0.6982 0.3018 0.8234
O 0.1982 0.1982 0.3234
```

Computed properties:
The crystal system is tetragonal. Its density of states at the Fermi level is 1.22 states/eV/cell. The calculation puts the raw formation energy at -1.406 eV per atom. The calculation puts the volume at 10.5 Å³ per atom.

---

# 2
The following is a PBEsol calculation of a relaxed structure of MnTe2O5, from the Alexandria database. Values from VASP.

Geometry as Quantum ESPRESSO input:
```
&SYSTEM
  ibrav = 0, nat = 64, ntyp = 3
/
ATOMIC_SPECIES
Te 127.60 Te.upf
O 16.00 O.upf
Mn 54.94 Mn.upf
CELL_PARAMETERS angstrom
-8.1219 -0.7127 2.9894
2.2774 -7.0676 4.5025
3.0721 7.4369 10.1197
ATOMIC_POSITIONS crystal
Te 0.3167 0.2897 0.6335
Te 0.7103 0.6833 0.1335
Te 0.2897 0.6833 0.3665
Te 0.2897 0.3167 0.1335
Te 0.2103 0.8167 0.1335
Te 0.6833 0.2897 0.8665
Te 0.8167 0.7897 0.8665
Te 0.1833 0.7897 0.6335
Te 0.8167 0.2103 0.6335
Te 0.1833 0.2103 0.8665
Te 0.6833 0.7103 0.6335
Te 0.7897 0.8167 0.3665
Te 0.7103 0.3167 0.3665
Te 0.7897 0.1833 0.1335
Te 0.2103 0.1833 0.3665
Te 0.3167 0.7103 0.8665
O 0.0751 0.6478 0.3838
O 0.8774 0.2721 0.7974
O 0.2721 0.1226 0.2026
O 0.1478 0.4249 0.8838
O 0.6478 0.0751 0.8838
O 0.7279 0.1226 0.2974
O 0.8522 0.5751 0.8838
O 0.8522 0.4249 0.6162
O 0.5751 0.8522 0.3838
O 0.2279 0.6226 0.2026
O 0.3522 0.0751 0.6162
O 0.7721 0.3774 0.2026
O 0.4249 0.8522 0.1162
O 0.1226 0.2721 0.7026
O 0.6226 0.7721 0.7974
O 0.1942 0.6942 0.0000
O 0.2721 0.8774 0.2974
O 0.3774 0.7721 0.7026
O 0.3058 0.8058 0.5000
O 0.0751 0.3522 0.1162
O 0.3522 0.9249 0.8838
O 0.1478 0.5751 0.6162
O 0.6942 0.1942 0.5000
O 0.1942 0.3058 0.5000
O 0.3774 0.2279 0.7974
O 0.6478 0.9249 0.6162
O 0.7721 0.6226 0.2974
O 0.3058 0.1942 0.0000
O 0.1226 0.7279 0.7974
O 0.9249 0.3522 0.3838
O 0.9249 0.6478 0.1162
O 0.5751 0.1478 0.1162
O 0.2279 0.3774 0.2974
O 0.7279 0.8774 0.2026
O 0.8774 0.7279 0.7026
O 0.4249 0.1478 0.3838
O 0.6942 0.8058 0.0000
O 0.8058 0.6942 0.5000
O 0.6226 0.2279 0.7026
O 0.8058 0.3058 0.0000
Mn 0.0000 0.5000 0.0000
Mn 0.0000 0.5000 0.5000
Mn 0.0000 0.5000 0.2500
Mn 0.5000 0.0000 0.5000
Mn 0.5000 0.0000 0.0000
Mn 0.0000 0.5000 0.7500
Mn 0.5000 0.0000 0.2500
Mn 0.5000 0.0000 0.7500
```

Computed properties:
The crystal system is tetragonal. The energy above the most stable polymorph in this dataset is 0 meV per atom. The calculation puts the raw formation energy at -1.118 eV per atom. The calculation puts the volume at 15.2 Å³ per atom.

---

# 3
The following is a PBEsol calculation of a relaxed structure of Ti3Mn3Te2O16, from the Alexandria database. Values from VASP.

Geometry as Quantum ESPRESSO input:
```
&SYSTEM
  ibrav = 0, nat = 24, ntyp = 4
/
ATOMIC_SPECIES
O 16.00 O.upf
Te 127.60 Te.upf
Mn 54.94 Mn.upf
Ti 47.87 Ti.upf
CELL_PARAMETERS angstrom
5.7892 0.0000 0.0000
-2.8946 4.9815 0.2229
0.0000 -0.0450 10.2888
ATOMIC_POSITIONS crystal
O 0.8337 0.6675 0.8956
O 0.9725 0.4815 0.1820
O 0.3256 0.1630 0.8915
O 0.5138 0.0275 0.1974
O 0.8374 0.1630 0.8915
O 0.6746 0.8360 0.3932
O 0.6623 0.3246 0.3839
O 0.1615 0.3230 0.3886
O 0.4824 0.5089 0.6879
O 0.0264 0.5089 0.6879
O 0.4875 0.9751 0.6753
O 0.0101 0.0202 0.6976
O 0.0101 0.0203 0.1996
O 0.1614 0.8360 0.3932
O 0.5091 0.4815 0.1820
O 0.3304 0.6607 0.8849
Te 0.3289 0.6578 0.4855
Te 0.6608 0.3217 0.9886
Mn 0.8270 0.1719 0.2868
Mn 0.1733 0.3466 0.7891
Mn 0.3449 0.1719 0.2868
Ti 0.1711 0.8283 0.7736
Ti 0.6572 0.8283 0.7736
Ti 0.8296 0.6591 0.2683
```

Computed properties:
The crystal system is monoclinic. The calculation puts the raw formation energy at -1.913 eV per atom. The calculation puts the volume at 12.4 Å³ per atom.